The following is a DFT calculation (GGA-PBE) of a relaxed MnSeBr crystal.

Unit cell a=8.434 b=7.602 c=4.387 alpha=84.92 beta=63.88 gamma=31.21
Sites, in units of the cell vectors:
Mn 0.000 0.000 0.000
Se 0.389 0.389 0.611
Br 0.622 0.622 0.378

Its space group is Fmm2, No. 42.

The following is a DFT calculation (GGA-PBE) of a relaxed MnSeBr crystal.

Unit cell a=4.627 b=4.627 c=4.627 alpha=60.00 beta=60.00 gamma=60.00
Sites, in units of the cell vectors:
Mn 0.000 0.000 0.000
Se 0.750 0.750 0.750
Br 0.250 0.250 0.250

Its space group is F-43m, No. 216.

The following is a DFT calculation (GGA-PBE) of a relaxed Mn2SeBr crystal.

Unit cell a=3.442 b=3.442 c=7.392 alpha=90.00 beta=90.00 gamma=90.00
Sites, in units of the cell vectors:
Mn 0.000 0.000 0.000
Mn 0.500 0.500 0.221
Se 0.000 0.000 0.340
Br 0.500 0.500 0.828

As for the energy above the most stable polymorph in this dataset: 0.011 eV/atom. Its space group is P4mm, No. 99.

The following is a DFT calculation (GGA-PBE) of a relaxed Mn2SeBr crystal.

Unit cell a=3.689 b=3.722 c=6.402 alpha=90.00 beta=90.00 gamma=90.00
Sites, in units of the cell vectors:
Mn 0.000 0.000 0.000
Mn 0.000 0.500 0.500
Se 0.500 0.000 0.500
Br 0.500 0.500 0.000

As for the energy above the most stable polymorph in this dataset: 0.294 eV/atom. Its space group is Pmmm, No. 47.

Result set for calculated volume: 102.8 70.0 87.6 87.9 Å³/cell, one per record in the order listed.
Result set for uncorrected energy: -15.43 -14.52 -24.25 -23.12 eV/cell, one per record in the order listed.
Result set for formation energy from raw total energies: -0.369 -0.063 -0.187 0.095 eV/atom, one per record in the order listed.